Material: Ce5DyBi5
Method: DFT, PBE-GGA
State: relaxed

Geometry as CIF:
```
data_Ce5DyBi5
_cell_length_a 14.3373
_cell_length_b 6.4351
_cell_length_c 9.0724
_cell_angle_alpha 90.00
_cell_angle_beta 108.75
_cell_angle_gamma 90.00
_space_group_name_H-M_alt 'C 1 2/m 1'
_space_group_IT_number 12
loop_
_space_group_symop_operation_xyz
'x,y,z'
'-x,-y,-z'
'-x,y,-z'
'x,-y,z'
'x+1/2,y+1/2,z'
'-x+1/2,-y+1/2,-z'
'-x+1/2,y+1/2,-z'
'x+1/2,-y+1/2,z'
loop_
_atom_site_label
_atom_site_fract_x
_atom_site_fract_y
_atom_site_fract_z
_atom_site_occupancy
Ce1 0.0000 0.0000 0.0000 1
Ce2 0.1620 0.5000 0.3257 1
Ce3 0.1671 0.5000 0.8353 1
Dy1 0.0000 0.0000 0.5000 1
Bi1 0.0000 0.5000 0.5000 1
Bi2 0.1649 0.0000 0.8301 1
Bi3 0.1681 0.0000 0.3381 1
```

## Properties
E_form = -0.58 eV per atom
D(E_F) = 40.466 states/eV/f.u.

***

Material: AlIn2Fe
Method: DFT, PBE-GGA
State: relaxed

Geometry as CIF:
```
data_AlIn2Fe
_cell_length_a 9.7450
_cell_length_b 2.9960
_cell_length_c 5.3108
_cell_angle_alpha 90.00
_cell_angle_beta 100.11
_cell_angle_gamma 90.00
_space_group_name_H-M_alt 'C 1 2/m 1'
_space_group_IT_number 12
loop_
_space_group_symop_operation_xyz
'x,y,z'
'-x,-y,-z'
'-x,y,-z'
'x,-y,z'
'x+1/2,y+1/2,z'
'-x+1/2,-y+1/2,-z'
'-x+1/2,y+1/2,-z'
'x+1/2,-y+1/2,z'
loop_
_atom_site_label
_atom_site_fract_x
_atom_site_fract_y
_atom_site_fract_z
_atom_site_occupancy
Al1 0.0000 0.0000 0.0000 1
In1 0.2363 0.0000 0.7373 1
Fe1 0.0000 0.5000 0.5000 1
```

## Properties
E_form = 0.33 eV per atom
D(E_F) = 2.363 states/eV/f.u.

***

Material: Li2NdTm2Si2
Method: DFT, PBE-GGA
State: relaxed

Geometry as CIF:
```
data_Li2NdTm2Si2
_cell_length_a 4.4795
_cell_length_b 4.4795
_cell_length_c 26.1934
_cell_angle_alpha 90.00
_cell_angle_beta 90.00
_cell_angle_gamma 120.00
_space_group_name_H-M_alt 'R -3 m'
_space_group_IT_number 166
_space_group_name_Hall '-R 3 2"'
loop_
_atom_site_label
_atom_site_fract_x
_atom_site_fract_y
_atom_site_fract_z
_atom_site_occupancy
Li1 0.0000 0.0000 0.0915 1
Nd1 0.0000 0.0000 0.5000 1
Tm1 0.0000 0.0000 0.3708 1
Si1 0.0000 0.0000 0.2432 1
```

## Properties
E_form (uncorrected) = -2.774 eV/f.u.
D(E_F) = 3.398 states/eV/f.u.

***

Material: NaNb2Sn
Method: DFT, PBE-GGA
State: relaxed

Geometry as CIF:
```
data_NaNb2Sn
_cell_length_a 7.9214
_cell_length_b 7.9214
_cell_length_c 5.5549
_cell_angle_alpha 90.00
_cell_angle_beta 90.00
_cell_angle_gamma 90.00
_space_group_name_H-M_alt 'I -4 2 d'
_space_group_IT_number 122
_space_group_name_Hall 'I -4 2bw'
loop_
_atom_site_label
_atom_site_fract_x
_atom_site_fract_y
_atom_site_fract_z
_atom_site_occupancy
Na1 0.0000 0.0000 0.0000 1
Nb1 0.2326 0.2500 0.6250 1
Sn1 0.0000 0.0000 0.5000 1
```

## Properties
E_form = 0.82 eV per atom
D(E_F) = 5.010 states/eV/f.u.

***

Material: La3ScS
Method: DFT, PBE-GGA
State: relaxed

Geometry as CIF:
```
data_La3ScS
_cell_length_a 5.5525
_cell_length_b 5.5525
_cell_length_c 5.5525
_cell_angle_alpha 90.00
_cell_angle_beta 90.00
_cell_angle_gamma 90.00
_space_group_name_H-M_alt 'P m -3 m'
_space_group_IT_number 221
_space_group_name_Hall '-P 4 2 3'
loop_
_atom_site_label
_atom_site_fract_x
_atom_site_fract_y
_atom_site_fract_z
_atom_site_occupancy
La1 0.0000 0.0000 0.5000 1
Sc1 0.5000 0.5000 0.5000 1
S1 0.0000 0.0000 0.0000 1
```

## Properties
E_form (uncorrected) = -3.222 eV/f.u.
E above lowest polymorph = 0.000 eV/atom
D(E_F) = 7.897 states/eV/f.u.

***

Material: CdInP2
Method: DFT, PBE-GGA
State: relaxed

Geometry as CIF:
```
data_CdInP2
_cell_length_a 3.2327
_cell_length_b 5.5264
_cell_length_c 9.9700
_cell_angle_alpha 90.00
_cell_angle_beta 90.00
_cell_angle_gamma 90.00
_space_group_name_H-M_alt 'I m m 2'
_space_group_IT_number 44
loop_
_space_group_symop_operation_xyz
'x,y,z'
'-x,-y,z'
'-x,y,z'
'x,-y,z'
'x+1/2,y+1/2,z+1/2'
'-x+1/2,-y+1/2,z+1/2'
'-x+1/2,y+1/2,z+1/2'
'x+1/2,-y+1/2,z+1/2'
loop_
_atom_site_label
_atom_site_fract_x
_atom_site_fract_y
_atom_site_fract_z
_atom_site_occupancy
Cd1 0.0000 0.0000 0.0000 1
In1 0.0000 0.5000 0.7904 1
P1 0.0000 0.0000 0.5854 1
P2 0.0000 0.5000 0.2341 1
```

## Properties
E_form = 0.16 eV per atom
D(E_F) = 1.686 states/eV/f.u.

***

Material: RbP2NCl
Method: DFT, PBE-GGA
State: relaxed

Geometry as CIF:
```
data_RbP2NCl
_cell_length_a 7.7688
_cell_length_b 7.7688
_cell_length_c 6.0075
_cell_angle_alpha 90.00
_cell_angle_beta 90.00
_cell_angle_gamma 90.00
_space_group_name_H-M_alt 'P 4/m m m'
_space_group_IT_number 123
_space_group_name_Hall '-P 4 2'
loop_
_atom_site_label
_atom_site_fract_x
_atom_site_fract_y
_atom_site_fract_z
_atom_site_occupancy
Rb1 0.0000 0.0000 0.0000 1
P1 0.0000 0.5000 0.0000 1
N1 0.5000 0.5000 0.5000 1
Cl1 0.0000 0.0000 0.5000 1
```

## Properties
E_form (uncorrected) = 10.115 eV/f.u.
E above lowest polymorph = 1.648 eV/atom
D(E_F) = 6.450 states/eV/f.u.

***

Material: LiB3Pt
Method: DFT, PBE-GGA
State: relaxed

Geometry as CIF:
```
data_LiB3Pt
_cell_length_a 4.1477
_cell_length_b 4.1477
_cell_length_c 4.1477
_cell_angle_alpha 90.00
_cell_angle_beta 90.00
_cell_angle_gamma 90.00
_space_group_name_H-M_alt 'P m -3 m'
_space_group_IT_number 221
_space_group_name_Hall '-P 4 2 3'
loop_
_atom_site_label
_atom_site_fract_x
_atom_site_fract_y
_atom_site_fract_z
_atom_site_occupancy
Li1 0.0000 0.0000 0.0000 1
B1 0.0000 0.5000 0.5000 1
Pt1 0.5000 0.5000 0.5000 1
```

## Properties
E_form = 1.02 eV per atom
E above lowest polymorph = 0.000 eV/atom
D(E_F) = 2.554 states/eV/f.u.

***

Material: SiNiCl2
Method: DFT, PBE-GGA
State: relaxed

Geometry as CIF:
```
data_SiNiCl2
_cell_length_a 3.1366
_cell_length_b 3.1366
_cell_length_c 6.7894
_cell_angle_alpha 90.00
_cell_angle_beta 90.00
_cell_angle_gamma 90.00
_space_group_name_H-M_alt 'P 4/m m m'
_space_group_IT_number 123
_space_group_name_Hall '-P 4 2'
loop_
_atom_site_label
_atom_site_fract_x
_atom_site_fract_y
_atom_site_fract_z
_atom_site_occupancy
Si1 0.0000 0.0000 0.0000 1
Ni1 0.0000 0.0000 0.5000 1
Cl1 0.5000 0.5000 0.2776 1
```

## Properties
E_form (uncorrected) = 1.774 eV/f.u.
E above lowest polymorph = 0.897 eV/atom
D(E_F) = 4.207 states/eV/f.u.

***

Material: SrTlF5
Method: DFT, PBE-GGA
State: relaxed

Geometry as CIF:
```
data_SrTlF5
_cell_length_a 9.9422
_cell_length_b 7.1599
_cell_length_c 8.5209
_cell_angle_alpha 90.00
_cell_angle_beta 115.28
_cell_angle_gamma 90.00
_space_group_name_H-M_alt 'C 1 2/c 1'
_space_group_IT_number 15
loop_
_space_group_symop_operation_xyz
'x,y,z'
'-x,-y,-z'
'-x,y,-z+1/2'
'x,-y,z+1/2'
'x+1/2,y+1/2,z'
'-x+1/2,-y+1/2,-z'
'-x+1/2,y+1/2,-z+1/2'
'x+1/2,-y+1/2,z+1/2'
loop_
_atom_site_label
_atom_site_fract_x
_atom_site_fract_y
_atom_site_fract_z
_atom_site_occupancy
Sr1 0.0000 0.0394 0.2500 1
Tl1 0.0000 0.5000 0.0000 1
F1 0.0000 0.3947 0.2500 1
F2 0.0073 0.1935 0.9705 1
F3 0.2350 0.4839 0.6207 1
```

## Properties
E_form (uncorrected) = -19.142 eV/f.u.
D(E_F) = 0.000 states/eV/f.u.

***

Material: PrBeAlPt3
Method: DFT, PBE-GGA
State: relaxed

Geometry as CIF:
```
data_PrBeAlPt3
_cell_length_a 6.8147
_cell_length_b 12.2058
_cell_length_c 5.6321
_cell_angle_alpha 90.00
_cell_angle_beta 90.00
_cell_angle_gamma 90.00
_space_group_name_H-M_alt 'C m c m'
_space_group_IT_number 63
_space_group_name_Hall '-C 2c 2'
loop_
_atom_site_label
_atom_site_fract_x
_atom_site_fract_y
_atom_site_fract_z
_atom_site_occupancy
Pr1 0.0000 0.2133 0.2500 1
Be1 0.0000 0.0976 0.7500 1
Al1 0.0000 0.4815 0.7500 1
Pt1 0.0000 0.2791 0.7500 1
Pt2 0.2039 0.0000 0.0000 1
```

## Properties
E_form = -0.78 eV per atom
D(E_F) = 2.588 states/eV/f.u.

***

Material: Mn2BeCuH
Method: DFT, PBE-GGA
State: relaxed

Geometry as CIF:
```
data_Mn2BeCuH
_cell_length_a 3.6614
_cell_length_b 3.6614
_cell_length_c 3.5491
_cell_angle_alpha 90.00
_cell_angle_beta 90.00
_cell_angle_gamma 90.00
_space_group_name_H-M_alt 'P 4/m m m'
_space_group_IT_number 123
_space_group_name_Hall '-P 4 2'
loop_
_atom_site_label
_atom_site_fract_x
_atom_site_fract_y
_atom_site_fract_z
_atom_site_occupancy
Mn1 0.0000 0.5000 0.0000 1
Be1 0.0000 0.0000 0.5000 1
Cu1 0.5000 0.5000 0.5000 1
H1 0.0000 0.0000 0.0000 1
```

## Properties
E above lowest polymorph = 0.005 eV/atom
D(E_F) = 3.554 states/eV/f.u.

***

D(E_F) of number 8 (LiB3Pt)? 2.554 states/eV/f.u.